DFT (PBE-GGA) results for a relaxed Nd3S2Cl crystal.

Cell lengths 3.924, 3.924, 21.882 Å; angles 90.00, 90.00, 120.00 degrees
Sites, in units of the cell vectors:
1 Nd 0.000 0.000 0.000
2 Nd 0.000 0.000 0.500
3 Nd 0.333 0.667 0.154
4 Nd 0.333 0.667 0.346
5 Nd 0.667 0.333 0.654
6 Nd 0.667 0.333 0.846
7 S 0.333 0.667 0.579
8 S 0.333 0.667 0.921
9 S 0.667 0.333 0.079
10 S 0.667 0.333 0.421
11 Cl 0.000 0.000 0.250
12 Cl 0.000 0.000 0.750

Summary:
Its space group is P6_3/mmc. The value obtained for the uncorrected formation energy is -1038 kJ/mol of formula units. The value obtained for the magnetic moment is 0.0 μB/f.u.